# PBE LaMgZn, optimized geometry
data_LaMgZn
_cell_length_a 3.6444
_cell_length_b 3.6444
_cell_length_c 7.0775
_cell_angle_alpha 90.00
_cell_angle_beta 90.00
_cell_angle_gamma 120.00
_space_group_name_H-M_alt 'P 3 m 1'
_space_group_IT_number 156
loop_
_space_group_symop_operation_xyz
'x,y,z'
'-y,x-y,z'
'-x+y,-x,z'
'-y,-x,z'
'-x+y,y,z'
'x,x-y,z'
loop_
_atom_site_label
_atom_site_fract_x
_atom_site_fract_y
_atom_site_fract_z
_atom_site_occupancy
La1 0.0000 0.0000 0.0000 1
Mg1 0.3333 0.6667 0.4061 1
Zn1 0.6667 0.3333 0.6691 1
# total moment = 0.00 Bohr magnetons per cell

# PBE PmPaZnNi, optimized geometry
data_PmPaZnNi
_cell_length_a 6.998
_cell_length_b 6.998
_cell_length_c 6.998
_cell_angle_alpha 90.00
_cell_angle_beta 90.00
_cell_angle_gamma 90.00
_space_group_name_H-M_alt 'F -4 3 m'
_space_group_IT_number 216
_space_group_name_Hall 'F -4 2 3'
loop_
_atom_site_label
_atom_site_fract_x
_atom_site_fract_y
_atom_site_fract_z
_atom_site_occupancy
Pm1 0.000 0.000 0.000 1
Pa1 0.000 0.000 0.500 1
Zn1 0.250 0.250 0.250 1
Ni1 0.250 0.250 0.750 1
# total moment = 1.74 Bohr magnetons per cell

# PBE AlSiSe4, optimized geometry
data_AlSiSe4
_cell_length_a 5.721
_cell_length_b 5.721
_cell_length_c 9.657
_cell_angle_alpha 90.00
_cell_angle_beta 90.00
_cell_angle_gamma 90.00
_space_group_name_H-M_alt 'P -4 2 c'
_space_group_IT_number 112
loop_
_space_group_symop_operation_xyz
'x,y,z'
'y,-x,-z'
'-x,-y,z'
'-y,x,-z'
'x,-y,-z+1/2'
'y,x,z+1/2'
'-x,y,-z+1/2'
'-y,-x,z+1/2'
loop_
_atom_site_label
_atom_site_fract_x
_atom_site_fract_y
_atom_site_fract_z
_atom_site_occupancy
Al1 0.000 0.000 0.000 1
Si1 0.000 0.500 0.250 1
Se1 0.252 0.267 0.374 1
# offset from the most stable computed form = 0.0 meV per atom
# ΔE_f (raw) = -44 kJ per mole of atoms
# total moment = 0.00 Bohr magnetons per cell

# PBE PuTlZn, optimized geometry
data_PuTlZn
_cell_length_a 5.0098
_cell_length_b 5.0098
_cell_length_c 3.2252
_cell_angle_alpha 90.00
_cell_angle_beta 90.00
_cell_angle_gamma 120.00
_space_group_name_H-M_alt 'P -6 m 2'
_space_group_IT_number 187
_space_group_name_Hall 'P -6 2'
loop_
_atom_site_label
_atom_site_fract_x
_atom_site_fract_y
_atom_site_fract_z
_atom_site_occupancy
Pu1 0.0000 0.0000 0.0000 1
Tl1 0.3333 0.6667 0.5000 1
Zn1 0.6667 0.3333 0.5000 1
# total moment = 5.94 Bohr magnetons per cell

# PBE SrPmPaO6, optimized geometry
data_SrPmPaO6
_cell_length_a 6.0914
_cell_length_b 6.0914
_cell_length_c 4.7091
_cell_angle_alpha 90.00
_cell_angle_beta 90.00
_cell_angle_gamma 120.00
_space_group_name_H-M_alt 'P 3 1 2'
_space_group_IT_number 149
loop_
_space_group_symop_operation_xyz
'x,y,z'
'-y,x-y,z'
'-x+y,-x,z'
'-y,-x,-z'
'-x+y,y,-z'
'x,x-y,-z'
loop_
_atom_site_label
_atom_site_fract_x
_atom_site_fract_y
_atom_site_fract_z
_atom_site_occupancy
Sr1 0.0000 0.0000 0.0000 1
Pm1 0.3333 0.6667 0.0000 1
Pa1 0.6667 0.3333 0.5000 1
O1 0.3746 0.0210 0.2518 1
# ΔE_f (raw) = -264 kJ per mole of atoms
# total moment = 2.04 Bohr magnetons per cell

# PBE MgInI3, optimized geometry
data_MgInI3
_cell_length_a 4.285
_cell_length_b 8.035
_cell_length_c 12.484
_cell_angle_alpha 107.88
_cell_angle_beta 90.01
_cell_angle_gamma 105.46
_space_group_name_H-M_alt 'P 1'
_space_group_IT_number 1
loop_
_space_group_symop_operation_xyz
'x,y,z'
loop_
_atom_site_label
_atom_site_fract_x
_atom_site_fract_y
_atom_site_fract_z
_atom_site_occupancy
Mg1 0.000 0.000 0.000 1
Mg2 0.499 0.997 0.313 1
In1 0.214 0.422 0.795 1
In2 0.291 0.576 0.517 1
I1 0.109 0.217 0.251 1
I2 0.390 0.780 0.062 1
I3 0.616 0.231 0.963 1
I4 0.624 0.244 0.543 1
I5 0.878 0.754 0.769 1
I6 0.884 0.766 0.349 1
# offset from the most stable computed form = 0.0 meV per atom
# ΔE_f (raw) = -75 kJ per mole of atoms
# total moment = 0.00 Bohr magnetons per cell

no.,V (Å³/atom),total energy (Ha/atom)
1,27.136,-0.0948
2,21.422,-0.1958
3,26.338,-0.1583
4,23.367,-0.2215
5,16.813,-0.2870
6,39.265,-0.0944